# LiTm2AsO6, relaxed, DFT PBE-GGA
data_LiTm2AsO6
_chemical_formula_sum 'Li1 Tm2 As1 O6'
_cell_length_a 5.0735
_cell_length_b 5.0735
_cell_length_c 4.7192
_cell_angle_alpha 90.00
_cell_angle_beta 90.00
_cell_angle_gamma 90.00
_space_group_name_H-M_alt 'P 4 m m'
_space_group_IT_number 99
_space_group_name_Hall 'P 4 -2'
loop_
_atom_site_label
_atom_site_type_symbol
_atom_site_fract_x
_atom_site_fract_y
_atom_site_fract_z
Li1 Li 0.0000 0.0000 0.0000
Tm1 Tm 0.0000 0.5000 0.4427
As1 As 0.5000 0.5000 0.0434
O1 O 0.0000 0.0000 0.5927
O2 O 0.2619 0.2619 0.1610
O3 O 0.5000 0.5000 0.6687
# - Formation energy (no corrections): -2.42 eV/atom
# - DOS(E_F): 0.0 states/eV/cell
# - Total energy: -6.9435 eV/atom
# - Spin magnetization: 0.000 μB/atom